## a
A relaxed MgIn2Sn crystal. Source: Alexandria, functional PBE.

## Properties
Its crystal system is trigonal.

Geometry as CIF:
```
data_MgIn2Sn
_symmetry_space_group_name_H-M 'R 3 m'
_symmetry_Int_Tables_number 160
_symmetry_space_group_name_Hall 'R 3 -2"'
_cell_length_a 4.8170
_cell_length_b 4.8170
_cell_length_c 16.6925
_cell_angle_alpha 90.00
_cell_angle_beta 90.00
_cell_angle_gamma 120.00
loop_
_atom_site_label
_atom_site_type_symbol
_atom_site_fract_x
_atom_site_fract_y
_atom_site_fract_z
_atom_site_occupancy
Mg1 Mg 0.0000 0.0000 0.0000 1
In1 In 0.0000 0.0000 0.3940 1
In2 In 0.0000 0.0000 0.5867 1
Sn1 Sn 0.0000 0.0000 0.8160 1
```

=====

## b
A relaxed MgIn2Sn crystal. Source: Alexandria, functional PBE.

## Properties
Its crystal system is orthorhombic.

Geometry as CIF:
```
data_MgIn2Sn
_symmetry_space_group_name_H-M 'C m m m'
_symmetry_Int_Tables_number 65
_symmetry_space_group_name_Hall '-C 2 2'
_cell_length_a 6.4721
_cell_length_b 9.2813
_cell_length_c 3.3925
_cell_angle_alpha 90.00
_cell_angle_beta 90.00
_cell_angle_gamma 90.00
loop_
_atom_site_label
_atom_site_type_symbol
_atom_site_fract_x
_atom_site_fract_y
_atom_site_fract_z
_atom_site_occupancy
Mg1 Mg 0.0000 0.0000 0.0000 1
In1 In 0.2500 0.2500 0.5000 1
Sn1 Sn 0.0000 0.5000 0.0000 1
```

=====

Which structure wins on stability? b wins.

=====

## a
A relaxed Mg4In2Sn crystal. Source: Alexandria, functional PBE.

## Properties
Its crystal system is orthorhombic.

Geometry as CIF:
```
data_Mg4In2Sn
_symmetry_space_group_name_H-M 'C m m m'
_symmetry_Int_Tables_number 65
_symmetry_space_group_name_Hall '-C 2 2'
_cell_length_a 7.0126
_cell_length_b 10.2361
_cell_length_c 4.9480
_cell_angle_alpha 90.00
_cell_angle_beta 90.00
_cell_angle_gamma 90.00
loop_
_atom_site_label
_atom_site_type_symbol
_atom_site_fract_x
_atom_site_fract_y
_atom_site_fract_z
_atom_site_occupancy
Mg1 Mg 0.2328 0.0000 0.0000 1
Mg2 Mg 0.2500 0.2500 0.5000 1
In1 In 0.0000 0.2494 0.0000 1
Sn1 Sn 0.0000 0.5000 0.5000 1
```

=====

## b
A relaxed Mg4In2Sn crystal. Source: Alexandria, functional PBE.

## Properties
Its crystal system is monoclinic.

Geometry as CIF:
```
data_Mg4In2Sn
_symmetry_space_group_name_H-M 'P 1 21/m 1'
_symmetry_Int_Tables_number 11
_symmetry_space_group_name_Hall '-P 2yb'
_cell_length_a 7.4798
_cell_length_b 5.8500
_cell_length_c 8.4693
_cell_angle_alpha 90.00
_cell_angle_beta 111.34
_cell_angle_gamma 90.00
loop_
_atom_site_label
_atom_site_type_symbol
_atom_site_fract_x
_atom_site_fract_y
_atom_site_fract_z
_atom_site_occupancy
Mg1 Mg 0.0291 0.2500 0.4323 1
Mg2 Mg 0.0333 0.2500 0.8000 1
Mg3 Mg 0.3876 0.0023 0.7599 1
In1 In 0.2335 0.7500 0.9985 1
In2 In 0.3828 0.7500 0.4355 1
Sn1 Sn 0.2258 0.2500 0.1834 1
```

=====

Which structure wins on stability? a wins.

=====

## a
A relaxed Mg2In6Sn crystal. Source: Alexandria, functional PBE.

## Properties
Its crystal system is monoclinic.

Geometry as CIF:
```
data_Mg2In6Sn
_symmetry_space_group_name_H-M 'C 1 2/m 1'
_symmetry_Int_Tables_number 12
_symmetry_space_group_name_Hall '-C 2y'
_cell_length_a 14.8748
_cell_length_b 3.4107
_cell_length_c 10.8112
_cell_angle_alpha 90.00
_cell_angle_beta 119.97
_cell_angle_gamma 90.00
loop_
_atom_site_label
_atom_site_type_symbol
_atom_site_fract_x
_atom_site_fract_y
_atom_site_fract_z
_atom_site_occupancy
Mg1 Mg 0.1359 0.0000 0.2580 1
In1 In 0.0397 0.5000 0.7095 1
In2 In 0.1605 0.0000 0.5524 1
In3 In 0.2396 0.5000 0.1108 1
Sn1 Sn 0.0000 0.5000 0.0000 1
```

=====

## b
A relaxed Mg2In6Sn crystal. Source: Alexandria, functional PBE.

## Properties
Its crystal system is triclinic.

Geometry as CIF:
```
data_Mg2In6Sn
_symmetry_space_group_name_H-M 'P -1'
_symmetry_Int_Tables_number 2
_symmetry_space_group_name_Hall '-P 1'
_cell_length_a 4.6185
_cell_length_b 7.0615
_cell_length_c 7.6932
_cell_angle_alpha 94.32
_cell_angle_beta 100.28
_cell_angle_gamma 107.25
loop_
_atom_site_label
_atom_site_type_symbol
_atom_site_fract_x
_atom_site_fract_y
_atom_site_fract_z
_atom_site_occupancy
Mg1 Mg 0.1618 0.3250 0.4992 1
In1 In 0.1237 0.0522 0.8263 1
In2 In 0.2213 0.6132 0.1906 1
In3 In 0.4298 0.7052 0.8082 1
Sn1 Sn 0.5000 0.0000 0.5000 1
```

=====

Which structure wins on stability? b wins.

=====

## a
A relaxed MgInSn4 crystal. Source: Alexandria, functional PBE.

## Properties
Its crystal system is monoclinic.

Geometry as CIF:
```
data_MgInSn4
_symmetry_space_group_name_H-M 'C 1 2/m 1'
_symmetry_Int_Tables_number 12
_symmetry_space_group_name_Hall '-C 2y'
_cell_length_a 7.5326
_cell_length_b 11.8847
_cell_length_c 4.2579
_cell_angle_alpha 90.00
_cell_angle_beta 121.99
_cell_angle_gamma 90.00
loop_
_atom_site_label
_atom_site_type_symbol
_atom_site_fract_x
_atom_site_fract_y
_atom_site_fract_z
_atom_site_occupancy
Mg1 Mg 0.0000 0.0000 0.0000 1
In1 In 0.0000 0.5000 0.5000 1
Sn1 Sn 0.2474 0.1550 0.7476 1
```

=====

## b
A relaxed MgInSn4 crystal. Source: Alexandria, functional PBE.

## Properties
Its crystal system is cubic.

Geometry as CIF:
```
data_MgInSn4
_symmetry_space_group_name_H-M 'F -4 3 m'
_symmetry_Int_Tables_number 216
_symmetry_space_group_name_Hall 'F -4 2 3'
_cell_length_a 8.8202
_cell_length_b 8.8202
_cell_length_c 8.8202
_cell_angle_alpha 90.00
_cell_angle_beta 90.00
_cell_angle_gamma 90.00
loop_
_atom_site_label
_atom_site_type_symbol
_atom_site_fract_x
_atom_site_fract_y
_atom_site_fract_z
_atom_site_occupancy
Mg1 Mg 0.0000 0.0000 0.0000 1
In1 In 0.2500 0.2500 0.7500 1
Sn1 Sn 0.1250 0.1250 0.3750 1
```

=====

## c
A relaxed MgInSn4 crystal. Source: Alexandria, functional PBE.

## Properties
Its crystal system is monoclinic.

Geometry as CIF:
```
data_MgInSn4
_symmetry_space_group_name_H-M 'P 1 21/c 1'
_symmetry_Int_Tables_number 14
_symmetry_space_group_name_Hall '-P 2ybc'
_cell_length_a 6.5088
_cell_length_b 9.1067
_cell_length_c 5.8134
_cell_angle_alpha 90.00
_cell_angle_beta 111.37
_cell_angle_gamma 90.00
loop_
_atom_site_label
_atom_site_type_symbol
_atom_site_fract_x
_atom_site_fract_y
_atom_site_fract_z
_atom_site_occupancy
Mg1 Mg 0.0000 0.0000 0.0000 1
In1 In 0.5000 0.0000 0.0000 1
Sn1 Sn 0.1115 0.1624 0.5377 1
Sn2 Sn 0.3824 0.6611 0.9410 1
```

=====

Which structure wins on stability? a wins.